Here is crystalline SiBPN4 at its relaxed geometry from Alexandria via LeMat-Bulk. Energies are from PBE.

Structure (POSCAR):
```
SiBPN4
1.0
-2.281 -0.672 -3.716
-0.125 -3.137 3.244
-2.387 3.377 1.961
N P Si B
4 1 1 1
Cartesian
-2.890 -2.133 -0.736
-2.689 0.949 0.692
-1.453 -0.704 2.138
-1.773 -3.546 0.521
-1.031 0.775 1.270
-2.894 1.707 -0.855
-3.946 0.746 1.367
```

Values from the calculation:
energy above the most stable polymorph in this dataset	0.544	eV per atom
calculated volume	73.5	Å³/f.u.
uncorrected formation energy	-0.285	eV per atom
crystal system	triclinic
magnetic moment	0.00	μB/f.u.